This record from the Alexandria database describes an optimized crystal structure of Ac8NiPt3. The functional is GGA-PBE.

```
Ac8NiPt3
1.0
8.879 0.000 0.000
-4.439 6.333 -4.366
0.000 -0.385 8.500
Ac Ni Pt
8 1 3
direct
0.254 0.507 0.760
0.746 0.493 0.240
0.247 0.006 0.764
0.759 0.006 0.764
0.759 0.518 0.764
0.241 0.482 0.236
0.241 0.994 0.236
0.753 0.994 0.236
0.000 0.000 0.000
0.500 0.000 0.000
0.500 0.500 0.000
0.000 0.500 0.000
```

## Properties
SG: No. 12
DOS(E_F) in states/eV per atom: 0.97
ΔH_f (0 K) in kJ per mole of atoms: -62.1
Spin magnetization in μB per atom: 0.000
Uncorrected energy in eV for the cell shown: -64.50

This record from the Alexandria database describes an optimized crystal structure of Ac3Ni2Pt7. The functional is GGA-PBE.

```
Ac3Ni2Pt7
1.0
-0.190 3.808 4.041
-4.610 0.593 3.043
1.430 -4.486 8.113
Ac Ni Pt
3 2 7
direct
0.000 0.000 0.000
0.861 0.861 0.417
0.139 0.139 0.583
0.667 0.667 0.999
0.333 0.333 0.001
0.500 0.500 0.500
0.924 0.421 0.234
0.421 0.924 0.234
0.421 0.421 0.234
0.076 0.579 0.766
0.579 0.579 0.766
0.579 0.076 0.766
```

## Properties
SG: No. 166
DOS(E_F) in states/eV per atom: 0.84
ΔH_f (0 K) in kJ per mole of atoms: -81.3
Spin magnetization in μB per atom: 0.090
Uncorrected energy in eV for the cell shown: -76.28

This record from the Alexandria database describes an optimized crystal structure of Ac6NiPt5. The functional is GGA-PBE.

```
Ac6NiPt5
1.0
-0.159 -7.557 -0.599
6.542 3.548 1.454
-3.408 0.813 6.728
Ni Ac Pt
1 6 5
direct
0.000 0.000 0.000
0.413 0.083 0.249
0.917 0.587 0.751
0.247 0.247 0.751
0.753 0.753 0.249
0.083 0.413 0.249
0.587 0.917 0.751
0.832 0.168 0.500
0.667 0.333 0.000
0.500 0.500 0.500
0.333 0.667 0.000
0.168 0.832 0.500
```

## Properties
SG: No. 12
DOS(E_F) in states/eV per atom: 0.52
ΔH_f (0 K) in kJ per mole of atoms: -97.0
Spin magnetization in μB per atom: 0.000
Uncorrected energy in eV for the cell shown: -72.70

This record from the Alexandria database describes an optimized crystal structure of Ac8Ni3Pt2. The functional is GGA-PBE.

```
Ac8Ni3Pt2
1.0
-4.391 -3.918 4.253
-3.525 -3.418 -6.787
8.254 -2.460 2.122
Ac Ni Pt
8 3 2
direct
0.093 0.388 0.777
0.907 0.612 0.223
0.083 0.887 0.774
0.917 0.113 0.226
0.410 0.876 0.237
0.410 0.361 0.237
0.590 0.639 0.763
0.590 0.124 0.763
0.500 0.000 0.000
0.000 0.255 0.000
0.000 0.745 0.000
0.669 0.746 0.491
0.331 0.254 0.509
```

## Properties
SG: No. 12
DOS(E_F) in states/eV per atom: 0.81
ΔH_f (0 K) in kJ per mole of atoms: -42.6
Spin magnetization in μB per atom: 0.000
Uncorrected energy in eV for the cell shown: -68.03

This record from the Alexandria database describes an optimized crystal structure of AcNi3Pt2. The functional is GGA-PBE.

```
AcNi3Pt2
1.0
5.349 0.000 0.000
-2.675 4.632 0.000
0.000 0.000 8.288
Ac Ni Pt
2 6 4
direct
0.000 0.000 0.500
0.000 0.000 0.000
0.500 0.000 0.250
0.000 0.500 0.750
0.500 0.000 0.750
0.500 0.500 0.250
0.000 0.500 0.250
0.500 0.500 0.750
0.667 0.333 0.500
0.333 0.667 0.000
0.333 0.667 0.500
0.667 0.333 0.000
```

## Properties
SG: No. 191
DOS(E_F) in states/eV per atom: 1.07
ΔH_f (0 K) in kJ per mole of atoms: -44.2
Spin magnetization in μB per atom: 0.107
Uncorrected energy in eV for the cell shown: -72.56

This record from the Alexandria database describes an optimized crystal structure of Ac2Ni3Pt. The functional is GGA-PBE.

```
Ac2Ni3Pt
1.0
4.232 0.000 0.000
0.000 4.232 0.000
0.000 0.000 7.350
Ac Ni Pt
2 3 1
direct
0.000 0.500 0.998
0.000 0.000 0.503
0.500 0.000 0.831
0.500 0.000 0.152
0.500 0.500 0.680
0.500 0.500 0.336
```

## Properties
SG: No. 25
DOS(E_F) in states/eV per atom: 1.09
ΔH_f (0 K) in kJ per mole of atoms: -48.7
Spin magnetization in μB per atom: 0.110
Uncorrected energy in eV for the cell shown: -34.63